# Sr2LiMg2 | Alexandria | PBE | optimized geometry
data_Sr2LiMg2
_cell_length_a 4.252
_cell_length_b 4.252
_cell_length_c 20.787
_cell_angle_alpha 90.00
_cell_angle_beta 90.00
_cell_angle_gamma 90.00
_symmetry_space_group_name_H-M 'I 4/m m m'
_symmetry_Int_Tables_number 139
_symmetry_space_group_name_Hall '-I 4 2'
loop_
_atom_site_label
_atom_site_fract_x
_atom_site_fract_y
_atom_site_fract_z
Sr1 0.000 0.000 0.104
Li1 0.000 0.000 0.500
Mg1 0.000 0.500 0.250
# DOS(E_F): 7.3 states/eV/cell
# energy of formation from the pure elements: 117 meV/atom
# spin magnetization: 0.0 μB/cell
# relative energy among the computed polymorphs: 140 meV per atom

# VSbAs2 | Alexandria | PBE | optimized geometry
data_VSbAs2
_cell_length_a 6.003
_cell_length_b 6.003
_cell_length_c 12.116
_cell_angle_alpha 90.00
_cell_angle_beta 90.00
_cell_angle_gamma 90.00
_symmetry_space_group_name_H-M 'I -4 2 d'
_symmetry_Int_Tables_number 122
_symmetry_space_group_name_Hall 'I -4 2bw'
loop_
_atom_site_label
_atom_site_fract_x
_atom_site_fract_y
_atom_site_fract_z
V1 0.000 0.000 0.000
Sb1 0.000 0.000 0.500
As1 0.202 0.250 0.125
# DOS(E_F): 9.5 states/eV/cell
# spin magnetization: 8.3 μB/cell
# E_form (uncorrected): 0.18 eV per atom

# TiBeCuPd | Alexandria | PBE | optimized geometry
data_TiBeCuPd
_cell_length_a 5.956
_cell_length_b 5.956
_cell_length_c 5.956
_cell_angle_alpha 90.00
_cell_angle_beta 90.00
_cell_angle_gamma 90.00
_symmetry_space_group_name_H-M 'F -4 3 m'
_symmetry_Int_Tables_number 216
_symmetry_space_group_name_Hall 'F -4 2 3'
loop_
_atom_site_label
_atom_site_fract_x
_atom_site_fract_y
_atom_site_fract_z
Ti1 0.000 0.000 0.000
Be1 0.000 0.000 0.500
Cu1 0.250 0.250 0.750
Pd1 0.250 0.250 0.250
# DOS(E_F): 14.1 states/eV/cell
# energy of formation from the pure elements: -272 meV/atom
# spin magnetization: 0.0 μB/cell

# PuThI | Alexandria | PBE | optimized geometry
data_PuThI
_cell_length_a 12.173
_cell_length_b 12.602
_cell_length_c 9.008
_cell_angle_alpha 90.00
_cell_angle_beta 90.00
_cell_angle_gamma 90.00
_symmetry_space_group_name_H-M 'F d d 2'
_symmetry_Int_Tables_number 43
_symmetry_space_group_name_Hall 'F 2 -2d'
loop_
_atom_site_label
_atom_site_fract_x
_atom_site_fract_y
_atom_site_fract_z
Pu1 0.090 0.018 0.000
Th1 0.123 0.068 0.289
I1 0.100 0.296 0.906
# DOS(E_F): 61.6 states/eV/cell
# spin magnetization: 0.0 μB/cell
# E_form (uncorrected): 0.22 eV per atom

# NaUC2O8 | Alexandria | PBE | optimized geometry
data_NaUC2O8
_cell_length_a 4.9498
_cell_length_b 4.9498
_cell_length_c 7.2895
_cell_angle_alpha 90.00
_cell_angle_beta 90.00
_cell_angle_gamma 120.00
_symmetry_space_group_name_H-M 'P -3'
_symmetry_Int_Tables_number 147
loop_
_symmetry_equiv_pos_as_xyz
'x,y,z'
'-x,-y,-z'
'-y,x-y,z'
'y,-x+y,-z'
'-x+y,-x,z'
'x-y,x,-z'
loop_
_atom_site_label
_atom_site_fract_x
_atom_site_fract_y
_atom_site_fract_z
Na1 0.0000 0.0000 0.0000
U1 0.0000 0.0000 0.5000
C1 0.3333 0.6667 0.7468
O1 0.1012 0.3740 0.6742
O2 0.3333 0.6667 0.9270
# DOS(E_F): 4.3 states/eV/cell
# spin magnetization: 1.0 μB/cell
# E_form (uncorrected): -1.64 eV per atom

# BMo2RhSe | Alexandria | PBE | optimized geometry
data_BMo2RhSe
_cell_length_a 4.678
_cell_length_b 4.678
_cell_length_c 3.832
_cell_angle_alpha 90.00
_cell_angle_beta 90.00
_cell_angle_gamma 90.00
_symmetry_space_group_name_H-M 'P 4/m m m'
_symmetry_Int_Tables_number 123
_symmetry_space_group_name_Hall '-P 4 2'
loop_
_atom_site_label
_atom_site_fract_x
_atom_site_fract_y
_atom_site_fract_z
B1 0.000 0.000 0.000
Mo1 0.000 0.500 0.500
Rh1 0.500 0.500 0.000
Se1 0.000 0.000 0.500
# DOS(E_F): 8.0 states/eV/cell
# spin magnetization: 1.0 μB/cell
# E_form (uncorrected): 1.63 eV per atom

# Na2SrSbF | Alexandria | PBE | optimized geometry
data_Na2SrSbF
_cell_length_a 4.766
_cell_length_b 4.766
_cell_length_c 5.065
_cell_angle_alpha 90.00
_cell_angle_beta 90.00
_cell_angle_gamma 90.00
_symmetry_space_group_name_H-M 'P 4/m m m'
_symmetry_Int_Tables_number 123
_symmetry_space_group_name_Hall '-P 4 2'
loop_
_atom_site_label
_atom_site_fract_x
_atom_site_fract_y
_atom_site_fract_z
Na1 0.000 0.500 0.000
Sr1 0.000 0.000 0.500
Sb1 0.500 0.500 0.500
F1 0.000 0.000 0.000
# spin magnetization: 0.0 μB/cell
# E_form (uncorrected): -1.56 eV per atom

# K3ScPb | Alexandria | PBE | optimized geometry
data_K3ScPb
_cell_length_a 6.632
_cell_length_b 6.632
_cell_length_c 6.632
_cell_angle_alpha 90.00
_cell_angle_beta 90.00
_cell_angle_gamma 90.00
_symmetry_space_group_name_H-M 'P m -3 m'
_symmetry_Int_Tables_number 221
_symmetry_space_group_name_Hall '-P 4 2 3'
loop_
_atom_site_label
_atom_site_fract_x
_atom_site_fract_y
_atom_site_fract_z
K1 0.000 0.000 0.500
Sc1 0.000 0.000 0.000
Pb1 0.500 0.500 0.500
# DOS(E_F): 18.2 states/eV/cell
# energy of formation from the pure elements: 941 meV/atom
# spin magnetization: 1.4 μB/cell

# VFeB | Alexandria | PBE | optimized geometry
data_VFeB
_cell_length_a 5.0035
_cell_length_b 5.0035
_cell_length_c 12.9015
_cell_angle_alpha 90.00
_cell_angle_beta 90.00
_cell_angle_gamma 120.00
_symmetry_space_group_name_H-M 'R 3'
_symmetry_Int_Tables_number 146
_symmetry_space_group_name_Hall 'R 3'
loop_
_atom_site_label
_atom_site_fract_x
_atom_site_fract_y
_atom_site_fract_z
V1 0.0135 0.6722 0.0000
Fe1 0.0032 0.3999 0.1479
B1 0.0000 0.0000 0.1333
B2 0.0000 0.0000 0.5735
B3 0.0000 0.0000 0.9028
# DOS(E_F): 10.7 states/eV/cell
# energy of formation from the pure elements: -133 meV/atom
# spin magnetization: 0.0 μB/cell
# relative energy among the computed polymorphs: 433 meV per atom

# Cs2FeBr6Cl | Alexandria | PBE | optimized geometry
data_Cs2FeBr6Cl
_cell_length_a 8.180
_cell_length_b 8.180
_cell_length_c 10.788
_cell_angle_alpha 90.00
_cell_angle_beta 90.00
_cell_angle_gamma 90.00
_symmetry_space_group_name_H-M 'I 4/m m m'
_symmetry_Int_Tables_number 139
_symmetry_space_group_name_Hall '-I 4 2'
loop_
_atom_site_label
_atom_site_fract_x
_atom_site_fract_y
_atom_site_fract_z
Cs1 0.000 0.500 0.250
Fe1 0.000 0.000 0.000
Br1 0.000 0.000 0.262
Br2 0.206 0.206 0.000
Cl1 0.000 0.000 0.500
# DOS(E_F): 11.4 states/eV/cell
# spin magnetization: 6.0 μB/cell
# E_form (uncorrected): -0.89 eV per atom

# HoPuCdHg | Alexandria | PBE | optimized geometry
data_HoPuCdHg
_cell_length_a 7.498
_cell_length_b 7.498
_cell_length_c 7.498
_cell_angle_alpha 90.00
_cell_angle_beta 90.00
_cell_angle_gamma 90.00
_symmetry_space_group_name_H-M 'F -4 3 m'
_symmetry_Int_Tables_number 216
_symmetry_space_group_name_Hall 'F -4 2 3'
loop_
_atom_site_label
_atom_site_fract_x
_atom_site_fract_y
_atom_site_fract_z
Ho1 0.000 0.000 0.000
Pu1 0.000 0.000 0.500
Cd1 0.250 0.250 0.750
Hg1 0.250 0.250 0.250
# DOS(E_F): 42.2 states/eV/cell
# energy of formation from the pure elements: -179 meV/atom
# spin magnetization: 24.6 μB/cell

# B5C7 | Alexandria | PBE | optimized geometry
data_B5C7
_cell_length_a 8.588
_cell_length_b 2.482
_cell_length_c 8.293
_cell_angle_alpha 90.00
_cell_angle_beta 119.12
_cell_angle_gamma 90.00
_symmetry_space_group_name_H-M 'C 1 m 1'
_symmetry_Int_Tables_number 8
loop_
_symmetry_equiv_pos_as_xyz
'x,y,z'
'x,-y,z'
'x+1/2,y+1/2,z'
'x+1/2,-y+1/2,z'
loop_
_atom_site_label
_atom_site_fract_x
_atom_site_fract_y
_atom_site_fract_z
B1 0.000 0.000 0.000
B2 0.021 0.500 0.171
B3 0.277 0.500 0.310
B4 0.309 0.000 0.170
B5 0.472 0.500 0.538
C1 0.140 0.000 0.496
C2 0.143 0.500 0.395
C3 0.156 0.500 0.847
C4 0.164 0.000 0.958
C5 0.313 0.000 0.696
C6 0.315 0.500 0.805
C7 0.475 0.000 0.664
# DOS(E_F): 4.1 states/eV/cell
# energy of formation from the pure elements: 347 meV/atom
# spin magnetization: 0.0 μB/cell
# relative energy among the computed polymorphs: 90 meV per atom

# Na2Er2Cl7 | Alexandria | PBE | optimized geometry
data_Na2Er2Cl7
_cell_length_a 11.421
_cell_length_b 8.262
_cell_length_c 6.729
_cell_angle_alpha 90.00
_cell_angle_beta 93.45
_cell_angle_gamma 90.00
_symmetry_space_group_name_H-M 'C 1 2/m 1'
_symmetry_Int_Tables_number 12
loop_
_symmetry_equiv_pos_as_xyz
'x,y,z'
'-x,-y,-z'
'-x,y,-z'
'x,-y,z'
'x+1/2,y+1/2,z'
'-x+1/2,-y+1/2,-z'
'-x+1/2,y+1/2,-z'
'x+1/2,-y+1/2,z'
loop_
_atom_site_label
_atom_site_fract_x
_atom_site_fract_y
_atom_site_fract_z
Na1 0.000 0.243 0.000
Er1 0.231 0.500 0.432
Cl1 0.000 0.500 0.500
Cl2 0.082 0.000 0.755
Cl3 0.202 0.205 0.269
# DOS(E_F): 3.1 states/eV/cell
# spin magnetization: 1.7 μB/cell
# E_form (uncorrected): -1.90 eV per atom

# CuReIr3 | Alexandria | PBE | optimized geometry
data_CuReIr3
_cell_length_a 4.725
_cell_length_b 4.725
_cell_length_c 4.725
_cell_angle_alpha 90.00
_cell_angle_beta 90.00
_cell_angle_gamma 90.00
_symmetry_space_group_name_H-M 'P m -3 m'
_symmetry_Int_Tables_number 221
_symmetry_space_group_name_Hall '-P 4 2 3'
loop_
_atom_site_label
_atom_site_fract_x
_atom_site_fract_y
_atom_site_fract_z
Cu1 0.000 0.000 0.000
Re1 0.500 0.500 0.500
Ir1 0.000 0.500 0.500
# DOS(E_F): 3.3 states/eV/cell
# energy of formation from the pure elements: 1804 meV/atom
# spin magnetization: 0.0 μB/cell
# relative energy among the computed polymorphs: 0 meV per atom

# In2TeI | Alexandria | PBE | optimized geometry
data_In2TeI
_cell_length_a 5.851
_cell_length_b 5.851
_cell_length_c 3.826
_cell_angle_alpha 90.00
_cell_angle_beta 90.00
_cell_angle_gamma 90.00
_symmetry_space_group_name_H-M 'P 4/m m m'
_symmetry_Int_Tables_number 123
_symmetry_space_group_name_Hall '-P 4 2'
loop_
_atom_site_label
_atom_site_fract_x
_atom_site_fract_y
_atom_site_fract_z
In1 0.000 0.500 0.000
Te1 0.000 0.000 0.500
I1 0.500 0.500 0.500
# DOS(E_F): 2.5 states/eV/cell
# spin magnetization: 0.0 μB/cell
# relative energy among the computed polymorphs: 138 meV per atom
# E_form (uncorrected): -0.17 eV per atom

# Pm3RuRh2 | Alexandria | PBE | optimized geometry
data_Pm3RuRh2
_cell_length_a 3.505
_cell_length_b 3.505
_cell_length_c 10.548
_cell_angle_alpha 90.00
_cell_angle_beta 90.00
_cell_angle_gamma 90.00
_symmetry_space_group_name_H-M 'P 4/m m m'
_symmetry_Int_Tables_number 123
_symmetry_space_group_name_Hall '-P 4 2'
loop_
_atom_site_label
_atom_site_fract_x
_atom_site_fract_y
_atom_site_fract_z
Pm1 0.000 0.000 0.000
Pm2 0.000 0.000 0.336
Ru1 0.500 0.500 0.500
Rh1 0.500 0.500 0.164
# DOS(E_F): 3.3 states/eV/cell
# energy of formation from the pure elements: -510 meV/atom
# spin magnetization: 0.0 μB/cell
# relative energy among the computed polymorphs: 2 meV per atom

# NiOs2Br | Alexandria | PBE | optimized geometry
data_NiOs2Br
_cell_length_a 3.035
_cell_length_b 3.035
_cell_length_c 6.662
_cell_angle_alpha 90.00
_cell_angle_beta 90.00
_cell_angle_gamma 90.00
_symmetry_space_group_name_H-M 'P 4/m m m'
_symmetry_Int_Tables_number 123
_symmetry_space_group_name_Hall '-P 4 2'
loop_
_atom_site_label
_atom_site_fract_x
_atom_site_fract_y
_atom_site_fract_z
Ni1 0.000 0.000 0.000
Os1 0.500 0.500 0.194
Br1 0.000 0.000 0.500
# DOS(E_F): 4.0 states/eV/cell
# spin magnetization: 0.0 μB/cell
# relative energy among the computed polymorphs: 375 meV per atom
# E_form (uncorrected): 1.00 eV per atom

# CuReAsS2 | Alexandria | PBE | optimized geometry
data_CuReAsS2
_cell_length_a 4.472
_cell_length_b 4.472
_cell_length_c 5.098
_cell_angle_alpha 90.00
_cell_angle_beta 90.00
_cell_angle_gamma 90.00
_symmetry_space_group_name_H-M 'P 4/m m m'
_symmetry_Int_Tables_number 123
_symmetry_space_group_name_Hall '-P 4 2'
loop_
_atom_site_label
_atom_site_fract_x
_atom_site_fract_y
_atom_site_fract_z
Cu1 0.000 0.000 0.000
Re1 0.000 0.000 0.500
As1 0.500 0.500 0.000
S1 0.000 0.500 0.500
# DOS(E_F): 4.1 states/eV/cell
# spin magnetization: 1.3 μB/cell
# E_form (uncorrected): 0.75 eV per atom

# BaHoAg | Alexandria | PBE | optimized geometry
data_BaHoAg
_cell_length_a 5.092
_cell_length_b 5.092
_cell_length_c 8.139
_cell_angle_alpha 90.00
_cell_angle_beta 90.00
_cell_angle_gamma 90.00
_symmetry_space_group_name_H-M 'P 4/n m m'
_symmetry_Int_Tables_number 129
loop_
_symmetry_equiv_pos_as_xyz
'x,y,z'
'-x,-y,-z'
'-y+1/2,x,z'
'y+1/2,-x,-z'
'-x+1/2,-y+1/2,z'
'x+1/2,y+1/2,-z'
'y,-x+1/2,z'
'-y,x+1/2,-z'
'x+1/2,-y,-z'
'-x+1/2,y,z'
'-y,-x,-z'
'y,x,z'
'-x,y+1/2,-z'
'x,-y+1/2,z'
'y+1/2,x+1/2,-z'
'-y+1/2,-x+1/2,z'
loop_
_atom_site_label
_atom_site_fract_x
_atom_site_fract_y
_atom_site_fract_z
Ba1 0.250 0.250 0.131
Ho1 0.250 0.750 0.500
Ag1 0.250 0.250 0.699
# DOS(E_F): 9.1 states/eV/cell
# energy of formation from the pure elements: -125 meV/atom
# spin magnetization: 0.0 μB/cell
# relative energy among the computed polymorphs: 0 meV per atom

# CaHI2 | Alexandria | PBE | optimized geometry
data_CaHI2
_cell_length_a 4.709
_cell_length_b 4.237
_cell_length_c 11.810
_cell_angle_alpha 90.00
_cell_angle_beta 90.00
_cell_angle_gamma 90.00
_symmetry_space_group_name_H-M 'A m m 2'
_symmetry_Int_Tables_number 38
loop_
_symmetry_equiv_pos_as_xyz
'x,y,z'
'-x,-y,z'
'-x,y,z'
'x,-y,z'
'x,y+1/2,z+1/2'
'-x,-y+1/2,z+1/2'
'-x,y+1/2,z+1/2'
'x,-y+1/2,z+1/2'
loop_
_atom_site_label
_atom_site_fract_x
_atom_site_fract_y
_atom_site_fract_z
Ca1 0.000 0.000 0.000
H1 0.000 0.000 0.416
I1 0.000 0.000 0.696
I2 0.500 0.000 0.413
# DOS(E_F): 1.2 states/eV/cell
# spin magnetization: 0.0 μB/cell
# total DFT energy (no corrections): -2.846 eV/atom